Run 1
VASP calculation (GGA-PBE) on crystalline TcS2F at its relaxed geometry.

Results
Its symmetry is I-42d, No. 122.

Cell and atoms, written as POSCAR:
```
TcS2F
1.0
5.789 0.000 0.000
0.000 5.789 0.000
2.894 2.894 4.791
S F Tc
4 2 2
Direct
0.675 0.125 0.250 S
0.075 0.625 0.250 S
0.375 0.325 0.750 S
0.875 0.925 0.750 S
0.250 0.750 0.500 F
0.500 0.500 0.000 F
0.750 0.250 0.500 Tc
0.000 0.000 0.000 Tc
```

Run 2
VASP calculation (GGA-PBE) on crystalline TcS2F at its relaxed geometry.

Results
Its symmetry is R-3m, No. 166.

Cell and atoms, written as POSCAR:
```
TcS2F
1.0
3.407 4.999 6.303
5.318 3.011 6.243
5.473 5.127 4.481
S Tc F
2 1 1
Direct
0.090 0.090 0.090 S
0.910 0.910 0.910 S
0.000 0.000 0.000 Tc
0.500 0.500 0.500 F
```

Stability, lowest: run 2

Run 1
VASP calculation (GGA-PBE) on crystalline TcS3F at its relaxed geometry.

Results
Its symmetry is Pm-3m, No. 221.

Cell and atoms, written as POSCAR:
```
TcS3F
1.0
4.265 0.000 0.000
0.000 4.265 0.000
0.000 0.000 4.265
F S Tc
1 3 1
Direct
0.000 0.000 0.000 F
0.000 0.500 0.000 S
0.000 0.000 0.500 S
0.500 0.000 0.000 S
0.500 0.500 0.500 Tc
```

Run 2
VASP calculation (GGA-PBE) on crystalline TcS3F at its relaxed geometry.

Results
Its symmetry is Pm-3m, No. 221.

Cell and atoms, written as POSCAR:
```
TcS3F
1.0
-0.396 1.212 -4.358
-0.080 -4.376 -1.209
-4.522 -0.028 0.403
S Tc F
3 1 1
Direct
0.000 0.000 0.500 S
0.000 0.500 0.000 S
0.500 0.000 0.000 S
0.000 0.000 0.000 Tc
0.500 0.500 0.500 F
```

Stability, lowest: run 1

Run 1
VASP calculation (GGA-PBE) on crystalline TeSF3 at its relaxed geometry.

Results
Its symmetry is Pm-3m, No. 221.

Cell and atoms, written as POSCAR:
```
TeSF3
1.0
-3.086 -2.142 -2.292
-1.790 -1.437 3.754
-2.576 3.565 0.137
S Te F
1 1 3
Direct
0.000 0.000 0.000 S
0.500 0.500 0.500 Te
0.500 0.000 0.000 F
0.000 0.500 0.000 F
0.000 0.000 0.500 F
```

Run 2
VASP calculation (GGA-PBE) on crystalline TeSF3 at its relaxed geometry.

Results
Its symmetry is Pm-3m, No. 221.

Cell and atoms, written as POSCAR:
```
TeSF3
1.0
-3.723 1.263 -2.062
-2.403 -1.510 3.414
0.270 3.979 1.950
F Te S
3 1 1
Direct
0.000 0.000 0.500 F
0.000 0.500 0.000 F
0.500 0.000 0.000 F
0.000 0.000 0.000 Te
0.500 0.500 0.500 S
```

Stability, lowest: run 1

Run 1
VASP calculation (GGA-PBE) on crystalline TeSF2 at its relaxed geometry.

Results
Its symmetry is R-3m, No. 166.

Cell and atoms, written as POSCAR:
```
TeSF2
1.0
2.431 9.542 0.378
4.464 8.454 2.387
5.097 8.411 -0.605
Te F S
1 2 1
Direct
0.500 0.500 0.500 Te
0.941 0.941 0.941 F
0.059 0.059 0.059 F
0.000 0.000 0.000 S
```

Run 2
VASP calculation (GGA-PBE) on crystalline TeSF2 at its relaxed geometry.

Results
Its symmetry is I-42d, No. 122.

Cell and atoms, written as POSCAR:
```
TeSF2
1.0
-3.506 -1.392 1.367
-0.856 -1.430 -3.650
1.309 -8.341 0.755
Te S F
2 2 4
Direct
0.750 0.250 0.500 Te
0.000 0.000 0.000 Te
0.250 0.750 0.500 S
0.500 0.500 0.000 S
0.709 0.125 0.250 F
0.375 0.291 0.750 F
0.875 0.959 0.750 F
0.041 0.625 0.250 F
```

Run 3
VASP calculation (GGA-PBE) on crystalline TeSF2 at its relaxed geometry.

Results
Its symmetry is R-3m, No. 166.

Cell and atoms, written as POSCAR:
```
TeSF2
1.0
0.606 -3.850 9.160
2.576 -1.463 9.503
-0.483 -1.025 9.890
Te F S
1 2 1
Direct
0.000 0.000 0.000 Te
0.068 0.068 0.068 F
0.932 0.932 0.932 F
0.500 0.500 0.500 S
```

Stability, lowest: run 3

Run 1
VASP calculation (GGA-PBE) on crystalline TeSF2 at its relaxed geometry.

Results
Its symmetry is Pnna, No. 52.

Cell and atoms, written as POSCAR:
```
TeSF2
1.0
5.737 0.000 0.000
0.000 7.292 -0.003
0.000 0.004 9.401
S F Te
4 8 4
Direct
0.750 0.926 0.250 S
0.250 0.574 0.250 S
0.750 0.426 0.750 S
0.250 0.074 0.750 S
0.193 0.483 0.603 F
0.307 0.983 0.103 F
0.693 0.516 0.103 F
0.807 0.016 0.603 F
0.193 0.984 0.397 F
0.693 0.017 0.897 F
0.807 0.517 0.397 F
0.307 0.484 0.897 F
0.000 0.250 0.590 Te
0.000 0.750 0.410 Te
0.500 0.750 0.090 Te
0.500 0.250 0.910 Te
```

Run 2
VASP calculation (GGA-PBE) on crystalline TeSF2 at its relaxed geometry.

Results
Its symmetry is Fm-3m, No. 225.

Cell and atoms, written as POSCAR:
```
TeSF2
1.0
-4.314 -0.089 0.062
-2.234 3.692 0.030
-2.233 1.199 -3.492
F S Te
2 1 1
Direct
0.750 0.750 0.750 F
0.250 0.250 0.250 F
0.000 0.000 0.000 S
0.500 0.500 0.500 Te
```

Stability, lowest: run 2

Run 1
VASP calculation (GGA-PBE) on crystalline TeS3F at its relaxed geometry.

Results
Its symmetry is Pm-3m, No. 221.

Cell and atoms, written as POSCAR:
```
TeS3F
1.0
4.481 0.000 0.000
0.000 4.481 0.000
0.000 0.000 4.481
S F Te
3 1 1
Direct
0.500 0.000 0.000 S
0.000 0.500 0.000 S
0.000 0.000 0.500 S
0.000 0.000 0.000 F
0.500 0.500 0.500 Te
```

Run 2
VASP calculation (GGA-PBE) on crystalline TeS3F at its relaxed geometry.

Results
Its symmetry is Pm-3m, No. 221.

Cell and atoms, written as POSCAR:
```
TeS3F
1.0
-4.012 -2.957 0.115
0.145 -0.390 -4.968
2.956 -3.995 0.400
Te S F
1 3 1
Direct
0.000 0.000 0.000 Te
0.000 0.000 0.500 S
0.500 0.000 0.000 S
0.000 0.500 0.000 S
0.500 0.500 0.500 F
```

Stability, lowest: run 1